# 1
8
Lattice="-5.3481 5.3481 2.7915 5.3481 -5.3481 2.7915 5.3481 5.3481 -2.7915" Properties=species:S:1:pos:R:3 comment="Sr2CaRu | Alexandria | PBE | optimized geometry" space_group="No. 122" magnetic_moment_mub_per_cell=0.0 pbc="T T T"
Sr -1.1010 2.6741 0.6979
Sr 2.6741 4.2471 2.0937
Sr 1.1010 8.0222 0.6979
Sr -2.6741 6.4492 2.0937
Ca 5.3481 0.0000 1.3958
Ca 0.0000 0.0000 2.7915
Ru 0.0000 0.0000 0.0000
Ru 0.0000 5.3481 1.3958



# 2
4
Lattice="4.9843 0.0000 0.0000 0.0000 4.9843 0.0000 0.0000 0.0000 4.9106" Properties=species:S:1:pos:R:3 comment="Sr2CaRu | Alexandria | PBE | optimized geometry" space_group="No. 123" magnetic_moment_mub_per_cell=0.0 pbc="T T T"
Sr 0.0000 2.4922 0.0000
Sr 2.4922 0.0000 0.0000
Ca 0.0000 0.0000 2.4553
Ru 2.4922 2.4922 2.4553



# 3
6
Lattice="0.0000 5.0612 5.0612 5.0612 0.0000 5.0612 5.0612 5.0612 0.0000" Properties=species:S:1:pos:R:3 comment="Sr4CaRu | Alexandria | PBE | optimized geometry" space_group="No. 216" magnetic_moment_mub_per_cell=1.6 pbc="T T T"
Sr 3.8068 3.8068 3.8068
Sr 6.3156 6.3156 3.8068
Sr 6.3156 3.8068 6.3156
Sr 3.8068 6.3156 6.3156
Ca 0.0000 0.0000 0.0000
Ru 7.5918 7.5918 7.5918



# 4
6
Lattice="0.0000 4.7443 4.7443 4.7443 0.0000 4.7443 4.7443 4.7443 0.0000" Properties=species:S:1:pos:R:3 comment="SrCa4Ru | Alexandria | PBE | optimized geometry" space_group="No. 216" magnetic_moment_mub_per_cell=0.9 pbc="T T T"
Sr 0.0000 0.0000 0.0000
Ca 5.9160 3.5726 3.5726
Ca 3.5726 5.9160 3.5726
Ca 3.5726 3.5726 5.9160
Ca 5.9160 5.9160 5.9160
Ru 2.3721 2.3721 2.3721



# 5
4
Lattice="3.3087 -5.5618 0.0000 3.3087 5.5618 0.0000 -1.6055 0.0000 3.2069" Properties=species:S:1:pos:R:3 comment="SrCa2Ru | Alexandria | PBE | optimized geometry" space_group="No. 12" magnetic_moment_mub_per_cell=0.6 pbc="T T T"
Sr 0.0000 0.0000 0.0000
Ca 0.8516 2.7809 1.6035
Ca 0.8516 -2.7809 1.6035
Ru 3.3087 0.0000 0.0000



# 6
5
Lattice="6.1467 0.0000 0.0000 0.0000 6.1467 0.0000 0.0000 0.0000 6.1467" Properties=species:S:1:pos:R:3 comment="Sr3CaRu | Alexandria | PBE | optimized geometry" space_group="No. 221" magnetic_moment_mub_per_cell=0.0 pbc="T T T"
Sr 0.0000 0.0000 3.0734
Sr 0.0000 3.0734 0.0000
Sr 3.0734 0.0000 0.0000
Ca 0.0000 0.0000 0.0000
Ru 3.0734 3.0734 3.0734



# 7
4
Lattice="-1.8514 2.8934 6.5025 1.8514 -2.8934 6.5025 1.8514 2.8934 -6.5025" Properties=species:S:1:pos:R:3 comment="Sr2CaRu | Alexandria | PBE | optimized geometry" space_group="No. 44" magnetic_moment_mub_per_cell=0.0 pbc="T T T"
Sr 0.0000 0.0000 0.0000
Sr 0.0000 2.8934 2.3148
Ca 1.8514 0.0000 4.3155
Ru 0.0000 0.0000 6.4620



# 8
5
Lattice="4.9461 0.0000 0.0000 0.0000 4.9461 0.0000 0.0000 0.0000 4.9461" Properties=species:S:1:pos:R:3 comment="SrCaRu3 | Alexandria | PBE | optimized geometry" space_group="No. 221" magnetic_moment_mub_per_cell=4.2 pbc="T T T"
Sr 0.0000 0.0000 0.0000
Ca 2.4730 2.4730 2.4730
Ru 0.0000 2.4730 2.4730
Ru 2.4730 0.0000 2.4730
Ru 2.4730 2.4730 0.0000



# 9
4
Lattice="5.8413 -1.8805 0.0000 5.8413 1.8805 0.0000 -3.2620 0.0000 6.1531" Properties=species:S:1:pos:R:3 comment="SrCa2Ru | Alexandria | PBE | optimized geometry" space_group="No. 8" magnetic_moment_mub_per_cell=0.0 pbc="T T T"
Sr 0.0000 0.0000 0.0000
Ca 5.3798 0.0000 4.0586
Ca 8.5701 0.0000 1.9873
Ru 0.0408 0.0000 6.1278



# 10
4
Lattice="-1.8088 2.8800 6.1597 1.8088 -2.8800 6.1597 1.8088 2.8800 -6.1597" Properties=species:S:1:pos:R:3 comment="SrCa2Ru | Alexandria | PBE | optimized geometry" space_group="No. 71" magnetic_moment_mub_per_cell=0.0 pbc="T T T"
Sr 0.0000 0.0000 0.0000
Ca 1.8088 0.0000 3.9584
Ca 0.0000 2.8800 2.2013
Ru 0.0000 0.0000 6.1597



# 11
4
Lattice="1.9301 1.1143 11.2353 -1.9301 1.1143 11.2353 0.0000 -2.2287 11.2353" Properties=species:S:1:pos:R:3 comment="Sr2CaRu | Alexandria | PBE | optimized geometry" space_group="No. 166" magnetic_moment_mub_per_cell=0.3 pbc="T T T"
Sr 0.0000 0.0000 7.6148
Sr 0.0000 0.0000 26.0911
Ca 0.0000 0.0000 0.0000
Ru 0.0000 0.0000 16.8530



# 12
5
Lattice="5.0048 0.0000 0.0000 0.0000 5.0048 0.0000 0.0000 0.0000 4.9268" Properties=species:S:1:pos:R:3 comment="SrCaTa2Ru | Alexandria | PBE | optimized geometry" space_group="No. 123" magnetic_moment_mub_per_cell=0.0 pbc="T T T"
Sr 0.0000 0.0000 0.0000
Ca 2.5024 2.5024 2.4634
Ta 0.0000 2.5024 2.4634
Ta 2.5024 0.0000 2.4634
Ru 2.5024 2.5024 0.0000



Number 1: energy of formation 0.4116 eV/atom. Number 2: energy of formation 0.4961 eV/atom. Number 3: energy of formation 0.9314 eV/atom. Number 4: energy of formation 0.7535 eV/atom. Number 5: energy of formation 0.6193 eV/atom. Number 6: energy of formation 1.6910 eV/atom. Number 7: energy of formation 0.2871 eV/atom. Number 8: energy of formation 1.6505 eV/atom. Number 9: energy of formation 0.2242 eV/atom. Number 10: energy of formation 0.2231 eV/atom. Number 11: energy of formation 0.4382 eV/atom. Number 12: energy of formation 2.1142 eV/atom.